[1]
A plane-wave DFT calculation with PBE-GGA was carried out for a geometry-optimized Pu6HfSn5 structure.

Structure (CIF):
```
data_Pu6HfSn5
_space_group_name_H-M_alt 'C 1 2/m 1'
_space_group_IT_number 12
_space_group_name_Hall '-C 2y'
_cell_length_a 14.783
_cell_length_b 9.387
_cell_length_c 4.618
_cell_angle_alpha 90.00
_cell_angle_beta 108.11
_cell_angle_gamma 90.00
loop_
_atom_site_label
_atom_site_type_symbol
_atom_site_fract_x
_atom_site_fract_y
_atom_site_fract_z
Pu1 Pu 0.000 0.249 0.000
Pu2 Pu 0.168 0.250 0.668
Hf1 Hf 0.000 0.500 0.500
Sn1 Sn 0.000 0.000 0.500
Sn2 Sn 0.156 0.500 0.156
Sn3 Sn 0.166 0.000 0.166
```

Properties
**Calculated volume**: 609.12 Å³/cell
**Formation energy from the elements**: -0.29 eV/atom

***

[2]
A plane-wave DFT calculation with PBE-GGA was carried out for a geometry-optimized SiBrCl2 structure.

Structure (CIF):
```
data_SiBrCl2
_space_group_name_H-M_alt 'I -4 2 d'
_space_group_IT_number 122
_space_group_name_Hall 'I -4 2bw'
_cell_length_a 7.550
_cell_length_b 7.550
_cell_length_c 10.722
_cell_angle_alpha 90.00
_cell_angle_beta 90.00
_cell_angle_gamma 90.00
loop_
_atom_site_label
_atom_site_type_symbol
_atom_site_fract_x
_atom_site_fract_y
_atom_site_fract_z
Si1 Si 0.000 0.000 0.000
Br1 Br 0.000 0.000 0.500
Cl1 Cl 0.005 0.750 0.125
```

Properties
**Calculated volume**: 611.14 Å³/cell
**Formation energy without anion corrections**: -0.108 eV/atom

***

[3]
A plane-wave DFT calculation with PBE-GGA was carried out for a geometry-optimized InHg3 structure.

Structure (CIF):
```
data_InHg3
_space_group_name_H-M_alt 'P -6 m 2'
_space_group_IT_number 187
_space_group_name_Hall 'P -6 2'
_cell_length_a 3.4497
_cell_length_b 3.4497
_cell_length_c 10.4127
_cell_angle_alpha 90.00
_cell_angle_beta 90.00
_cell_angle_gamma 120.00
loop_
_atom_site_label
_atom_site_type_symbol
_atom_site_fract_x
_atom_site_fract_y
_atom_site_fract_z
In1 In 0.0000 0.0000 0.0000
Hg1 Hg 0.0000 0.0000 0.5000
Hg2 Hg 0.3333 0.6667 0.2536
```

Properties
**Calculated volume**: 107.31 Å³/cell
**Formation energy from the elements**: 0.01 eV/atom

***

Q: Among the records above, which one has the lowest calculated volume?
A: InHg3

***

What did the second record say?
A plane-wave DFT calculation with PBE-GGA was carried out for a geometry-optimized SiBrCl2 structure.

Structure (CIF):
```
data_SiBrCl2
_space_group_name_H-M_alt 'I -4 2 d'
_space_group_IT_number 122
_space_group_name_Hall 'I -4 2bw'
_cell_length_a 7.550
_cell_length_b 7.550
_cell_length_c 10.722
_cell_angle_alpha 90.00
_cell_angle_beta 90.00
_cell_angle_gamma 90.00
loop_
_atom_site_label
_atom_site_type_symbol
_atom_site_fract_x
_atom_site_fract_y
_atom_site_fract_z
Si1 Si 0.000 0.000 0.000
Br1 Br 0.000 0.000 0.500
Cl1 Cl 0.005 0.750 0.125
```

Properties
**Calculated volume**: 611.14 Å³/cell
**Formation energy without anion corrections**: -0.108 eV/atom

***

Copy entry 3 word for word.
A plane-wave DFT calculation with PBE-GGA was carried out for a geometry-optimized InHg3 structure.

Structure (CIF):
```
data_InHg3
_space_group_name_H-M_alt 'P -6 m 2'
_space_group_IT_number 187
_space_group_name_Hall 'P -6 2'
_cell_length_a 3.4497
_cell_length_b 3.4497
_cell_length_c 10.4127
_cell_angle_alpha 90.00
_cell_angle_beta 90.00
_cell_angle_gamma 120.00
loop_
_atom_site_label
_atom_site_type_symbol
_atom_site_fract_x
_atom_site_fract_y
_atom_site_fract_z
In1 In 0.0000 0.0000 0.0000
Hg1 Hg 0.0000 0.0000 0.5000
Hg2 Hg 0.3333 0.6667 0.2536
```

Properties
**Calculated volume**: 107.31 Å³/cell
**Formation energy from the elements**: 0.01 eV/atom